# 1
# As2PIr | the Alexandria database | PBE-GGA | relaxed
# V ... 18.6 A^3/atom
# E_tot ... -5.938 eV per atom
data_As2PIr
_chemical_formula_sum 'As2 P1 Ir1'
_symmetry_space_group_name_H-M 'P 1'
_symmetry_Int_Tables_number 1
_cell_length_a 3.938
_cell_length_b 3.938
_cell_length_c 6.125
_cell_angle_alpha 77.10
_cell_angle_beta 77.10
_cell_angle_gamma 54.13
loop_
_symmetry_equiv_pos_as_xyz
'x,y,z'
loop_
_atom_site_label
_atom_site_type_symbol
_atom_site_fract_x
_atom_site_fract_y
_atom_site_fract_z
P1 P 0.799 0.799 0.685
Ir1 Ir 0.504 0.504 0.529
As1 As 0.273 0.273 0.284
As2 As 0.924 0.924 0.002



# 2
# La2ZnTe | the Alexandria database | PBE-GGA | relaxed
# V ... 33.0 A^3/atom
# Energy above the lowest structure with this stoichiometry ... 497 meV/atom
data_La2ZnTe
_chemical_formula_sum 'La2 Zn1 Te1'
_symmetry_space_group_name_H-M 'P 1'
_symmetry_Int_Tables_number 1
_cell_length_a 9.003
_cell_length_b 9.003
_cell_length_c 9.003
_cell_angle_alpha 26.91
_cell_angle_beta 26.91
_cell_angle_gamma 26.91
loop_
_symmetry_equiv_pos_as_xyz
'x,y,z'
loop_
_atom_site_label
_atom_site_type_symbol
_atom_site_fract_x
_atom_site_fract_y
_atom_site_fract_z
La1 La 0.237 0.237 0.237
La2 La 0.018 0.018 0.018
Zn1 Zn 0.762 0.762 0.762
Te1 Te 0.483 0.483 0.483



# 3
# CaScBiAu | the Alexandria database | PBE-GGA | relaxed
# V ... 24.7 A^3/atom
# E_tot ... -4.475 eV per atom
data_CaScBiAu
_chemical_formula_sum 'Ca1 Sc1 Bi1 Au1'
_symmetry_space_group_name_H-M 'P 1'
_symmetry_Int_Tables_number 1
_cell_length_a 5.191
_cell_length_b 5.191
_cell_length_c 5.191
_cell_angle_alpha 60.00
_cell_angle_beta 60.00
_cell_angle_gamma 60.00
loop_
_symmetry_equiv_pos_as_xyz
'x,y,z'
loop_
_atom_site_label
_atom_site_type_symbol
_atom_site_fract_x
_atom_site_fract_y
_atom_site_fract_z
Bi1 Bi 0.500 0.500 0.500
Ca1 Ca 0.250 0.250 0.250
Sc1 Sc 0.750 0.750 0.750
Au1 Au 0.000 0.000 0.000



> Which of these has the highest V?

La2ZnTe



> Which of these has the lowest V?

As2PIr



Repeat the third record exactly.
# CaScBiAu | the Alexandria database | PBE-GGA | relaxed
# V ... 24.7 A^3/atom
# E_tot ... -4.475 eV per atom
data_CaScBiAu
_chemical_formula_sum 'Ca1 Sc1 Bi1 Au1'
_symmetry_space_group_name_H-M 'P 1'
_symmetry_Int_Tables_number 1
_cell_length_a 5.191
_cell_length_b 5.191
_cell_length_c 5.191
_cell_angle_alpha 60.00
_cell_angle_beta 60.00
_cell_angle_gamma 60.00
loop_
_symmetry_equiv_pos_as_xyz
'x,y,z'
loop_
_atom_site_label
_atom_site_type_symbol
_atom_site_fract_x
_atom_site_fract_y
_atom_site_fract_z
Bi1 Bi 0.500 0.500 0.500
Ca1 Ca 0.250 0.250 0.250
Sc1 Sc 0.750 0.750 0.750
Au1 Au 0.000 0.000 0.000